Entry from Alexandria: a crystal of BeSi2Pt relaxed with PBEsol (meta-GGA SCAN).

Summary:
Magnetic moment (μB/cell): 0.00
Symmetry: Imm2 (44)
Formation energy from raw total energies (eV per atom): -0.007

Lattice parameters (Å, degrees): 4.4854 4.4854 4.4854 133.13 127.04 73.38
Element x y z (fractional)
Be1 0.0000 0.0000 0.0000
Si1 0.5141 0.5141 0.0000
Si2 0.7607 0.2607 0.5000
Pt1 0.2557 0.7557 0.5000